1.
# TaB4Mo3 (GGA-PBE, optimized geometry)
# SG: Immm (71)
data_TaB4Mo3
_cell_length_a 3.065
_cell_length_b 4.841
_cell_length_c 12.368
_cell_angle_alpha 90.00
_cell_angle_beta 90.00
_cell_angle_gamma 90.00
_space_group_name_H-M_alt 'P 1'
_space_group_IT_number 1
_space_group_name_Hall 'P 1'
loop_
_atom_site_label
_atom_site_fract_x
_atom_site_fract_y
_atom_site_fract_z
_atom_site_occupancy
Ta1 0.000 0.000 0.000 1
Ta2 0.500 0.500 0.500 1
B1 0.000 0.327 0.136 1
B2 0.000 0.327 0.864 1
B3 0.000 0.673 0.136 1
B4 0.000 0.673 0.864 1
B5 0.500 0.173 0.364 1
B6 0.500 0.173 0.636 1
B7 0.500 0.827 0.364 1
B8 0.500 0.827 0.636 1
Mo1 0.000 0.000 0.500 1
Mo2 0.000 0.500 0.306 1
Mo3 0.000 0.500 0.694 1
Mo4 0.500 0.000 0.194 1
Mo5 0.500 0.000 0.806 1
Mo6 0.500 0.500 0.000 1



2.
# TaBMo2 (GGA-PBE, optimized geometry)
# SG: Cmcm (63)
data_TaBMo2
_cell_length_a 3.123
_cell_length_b 18.511
_cell_length_c 4.004
_cell_angle_alpha 90.00
_cell_angle_beta 90.00
_cell_angle_gamma 90.00
_space_group_name_H-M_alt 'P 1'
_space_group_IT_number 1
_space_group_name_Hall 'P 1'
loop_
_atom_site_label
_atom_site_fract_x
_atom_site_fract_y
_atom_site_fract_z
_atom_site_occupancy
Ta1 0.000 0.119 0.250 1
Ta2 0.000 0.881 0.750 1
Ta3 0.500 0.381 0.750 1
Ta4 0.500 0.619 0.250 1
B1 0.000 0.341 0.250 1
B2 0.000 0.659 0.750 1
B3 0.500 0.159 0.750 1
B4 0.500 0.841 0.250 1
Mo1 0.000 0.252 0.750 1
Mo2 0.000 0.464 0.250 1
Mo3 0.000 0.536 0.750 1
Mo4 0.000 0.748 0.250 1
Mo5 0.500 0.036 0.750 1
Mo6 0.500 0.248 0.250 1
Mo7 0.500 0.752 0.750 1
Mo8 0.500 0.964 0.250 1



no.,total magnetic moment (μB/f.u.),raw total energy (eV/atom)
1,0.00,-9.143
2,0.00,-9.952